# 1
! PdW3Se, relaxed, DFT PBE; values from VASP
! Offset from the most stable computed form ... 0.0 kJ/mol of formula units
&SYSTEM
  ibrav = 0, nat = 5, ntyp = 3
/
ATOMIC_SPECIES
Pd 106.42 Pd.upf
W 183.84 W.upf
Se 78.96 Se.upf
CELL_PARAMETERS angstrom
4.572 0.000 0.000
0.000 4.572 0.000
0.000 0.000 4.572
ATOMIC_POSITIONS crystal
Pd 0.000 0.000 0.000
W 0.000 0.500 0.500
W 0.500 0.000 0.500
W 0.500 0.500 0.000
Se 0.500 0.500 0.500

***

# 2
! Pd3WSe, relaxed, DFT PBE; values from VASP
! Offset from the most stable computed form ... 121.0 kJ/mol of formula units
&SYSTEM
  ibrav = 0, nat = 5, ntyp = 3
/
ATOMIC_SPECIES
Pd 106.42 Pd.upf
W 183.84 W.upf
Se 78.96 Se.upf
CELL_PARAMETERS angstrom
4.837 0.000 0.000
0.000 4.837 0.000
0.000 0.000 4.837
ATOMIC_POSITIONS crystal
Pd 0.000 0.000 0.500
Pd 0.000 0.500 0.000
Pd 0.500 0.000 0.000
W 0.000 0.000 0.000
Se 0.500 0.500 0.500

***

# 3
! PdW2Se, relaxed, DFT PBE; values from VASP
! E_tot ... -58.54 eV/cell
&SYSTEM
  ibrav = 0, nat = 8, ntyp = 3
/
ATOMIC_SPECIES
Pd 106.42 Pd.upf
W 183.84 W.upf
Se 78.96 Se.upf
CELL_PARAMETERS angstrom
-2.874 2.874 5.494
2.874 -2.874 5.494
2.874 2.874 -5.494
ATOMIC_POSITIONS crystal
Pd 0.000 0.000 0.000
Pd 0.750 0.250 0.500
W 0.121 0.625 0.996
W 0.375 0.371 0.496
W 0.629 0.125 0.004
W 0.875 0.879 0.504
Se 0.250 0.750 0.500
Se 0.500 0.500 0.000

***

# 4
! Y3PdSe, relaxed, DFT PBE; values from VASP
! E_tot ... -29.98 eV/cell
&SYSTEM
  ibrav = 0, nat = 5, ntyp = 3
/
ATOMIC_SPECIES
Y 88.91 Y.upf
Pd 106.42 Pd.upf
Se 78.96 Se.upf
CELL_PARAMETERS angstrom
5.283 0.000 0.000
0.000 5.283 0.000
0.000 0.000 5.283
ATOMIC_POSITIONS crystal
Y 0.000 0.000 0.500
Y 0.000 0.500 0.000
Y 0.500 0.000 0.000
Pd 0.500 0.500 0.500
Se 0.000 0.000 0.000

***

# 5
! YPd3Se, relaxed, DFT PBE; values from VASP
! Offset from the most stable computed form ... 0.0 kJ/mol of formula units
&SYSTEM
  ibrav = 0, nat = 5, ntyp = 3
/
ATOMIC_SPECIES
Y 88.91 Y.upf
Pd 106.42 Pd.upf
Se 78.96 Se.upf
CELL_PARAMETERS angstrom
4.729 0.000 0.000
0.000 4.729 0.000
0.000 0.000 4.729
ATOMIC_POSITIONS crystal
Y 0.000 0.000 0.000
Pd 0.000 0.500 0.500
Pd 0.500 0.000 0.500
Pd 0.500 0.500 0.000
Se 0.500 0.500 0.500

***

# 6
! YPdSe3, relaxed, DFT PBE; values from VASP
! Offset from the most stable computed form ... 0.0 kJ/mol of formula units
&SYSTEM
  ibrav = 0, nat = 5, ntyp = 3
/
ATOMIC_SPECIES
Y 88.91 Y.upf
Pd 106.42 Pd.upf
Se 78.96 Se.upf
CELL_PARAMETERS angstrom
4.931 0.000 0.000
0.000 4.931 0.000
0.000 0.000 4.931
ATOMIC_POSITIONS crystal
Y 0.000 0.000 0.000
Pd 0.500 0.500 0.500
Se 0.000 0.500 0.500
Se 0.500 0.000 0.500
Se 0.500 0.500 0.000

***

# 7
! Y2PdSe2, relaxed, DFT PBE; values from VASP
! E_tot ... -63.13 eV/cell
&SYSTEM
  ibrav = 0, nat = 10, ntyp = 3
/
ATOMIC_SPECIES
Y 88.91 Y.upf
Pd 106.42 Pd.upf
Se 78.96 Se.upf
CELL_PARAMETERS angstrom
7.674 0.000 0.000
0.000 7.674 0.000
0.000 0.000 3.717
ATOMIC_POSITIONS crystal
Y 0.163 0.337 0.000
Y 0.337 0.837 0.000
Y 0.663 0.163 0.000
Y 0.837 0.663 0.000
Pd 0.000 0.000 0.500
Pd 0.500 0.500 0.500
Se 0.145 0.645 0.500
Se 0.355 0.145 0.500
Se 0.645 0.855 0.500
Se 0.855 0.355 0.500

***

# 8
! YPd2Se, relaxed, DFT PBE; values from VASP
! E_tot ... -46.93 eV/cell
&SYSTEM
  ibrav = 0, nat = 8, ntyp = 3
/
ATOMIC_SPECIES
Y 88.91 Y.upf
Pd 106.42 Pd.upf
Se 78.96 Se.upf
CELL_PARAMETERS angstrom
-2.020 2.020 9.882
2.020 -2.020 9.882
2.020 2.020 -9.882
ATOMIC_POSITIONS crystal
Y 0.000 0.000 0.000
Y 0.750 0.250 0.500
Pd 0.134 0.625 0.009
Pd 0.375 0.384 0.509
Pd 0.616 0.125 0.991
Pd 0.875 0.866 0.491
Se 0.250 0.750 0.500
Se 0.500 0.500 0.000

***

# 9
! Y6PdSe5, relaxed, DFT PBE; values from VASP
! E_tot ... -81.00 eV/cell
&SYSTEM
  ibrav = 0, nat = 12, ntyp = 3
/
ATOMIC_SPECIES
Y 88.91 Y.upf
Pd 106.42 Pd.upf
Se 78.96 Se.upf
CELL_PARAMETERS angstrom
3.554 -6.158 0.000
3.554 6.158 0.000
-2.390 0.000 6.677
ATOMIC_POSITIONS crystal
Y 0.079 0.407 0.242
Y 0.244 0.244 0.752
Y 0.407 0.079 0.242
Y 0.593 0.921 0.758
Y 0.756 0.756 0.248
Y 0.921 0.593 0.758
Pd 0.000 0.000 0.000
Se 0.172 0.828 0.500
Se 0.335 0.665 0.000
Se 0.500 0.500 0.500
Se 0.665 0.335 0.000
Se 0.828 0.172 0.500

***

# 10
! YPd3Se, relaxed, DFT PBE; values from VASP
! Offset from the most stable computed form ... 487.3 kJ/mol of formula units
&SYSTEM
  ibrav = 0, nat = 5, ntyp = 3
/
ATOMIC_SPECIES
Y 88.91 Y.upf
Pd 106.42 Pd.upf
Se 78.96 Se.upf
CELL_PARAMETERS angstrom
5.037 0.000 0.000
0.000 5.037 0.000
0.000 0.000 5.037
ATOMIC_POSITIONS crystal
Y 0.000 0.000 0.000
Pd 0.000 0.000 0.500
Pd 0.000 0.500 0.000
Pd 0.500 0.000 0.000
Se 0.500 0.500 0.500

***

# 11
! YPdSe3, relaxed, DFT PBE; values from VASP
! Offset from the most stable computed form ... 270.6 kJ/mol of formula units
&SYSTEM
  ibrav = 0, nat = 5, ntyp = 3
/
ATOMIC_SPECIES
Y 88.91 Y.upf
Pd 106.42 Pd.upf
Se 78.96 Se.upf
CELL_PARAMETERS angstrom
5.437 0.000 0.000
0.000 5.437 0.000
0.000 0.000 5.437
ATOMIC_POSITIONS crystal
Y 0.000 0.000 0.000
Pd 0.500 0.500 0.500
Se 0.000 0.000 0.500
Se 0.000 0.500 0.000
Se 0.500 0.000 0.000

***

# 12
! Zn3PdSe, relaxed, DFT PBE; values from VASP
! Offset from the most stable computed form ... 0.0 kJ/mol of formula units
&SYSTEM
  ibrav = 0, nat = 5, ntyp = 3
/
ATOMIC_SPECIES
Zn 65.41 Zn.upf
Pd 106.42 Pd.upf
Se 78.96 Se.upf
CELL_PARAMETERS angstrom
4.797 0.000 0.000
0.000 4.797 0.000
0.000 0.000 4.797
ATOMIC_POSITIONS crystal
Zn 0.000 0.000 0.500
Zn 0.000 0.500 0.000
Zn 0.500 0.000 0.000
Pd 0.000 0.000 0.000
Se 0.500 0.500 0.500

***

# 13
! Zn2PdSe2, relaxed, DFT PBE; values from VASP
! Offset from the most stable computed form ... 0.0 kJ/mol of formula units
&SYSTEM
  ibrav = 0, nat = 10, ntyp = 3
/
ATOMIC_SPECIES
Zn 65.41 Zn.upf
Pd 106.42 Pd.upf
Se 78.96 Se.upf
CELL_PARAMETERS angstrom
7.228 0.000 0.000
0.000 7.228 0.000
0.000 0.000 3.810
ATOMIC_POSITIONS crystal
Zn 0.124 0.376 0.000
Zn 0.376 0.876 0.000
Zn 0.624 0.124 0.000
Zn 0.876 0.624 0.000
Pd 0.000 0.000 0.500
Pd 0.500 0.500 0.500
Se 0.215 0.715 0.500
Se 0.285 0.215 0.500
Se 0.715 0.785 0.500
Se 0.785 0.285 0.500

***

# 14
! Zn2PdSe, relaxed, DFT PBE; values from VASP
! E_tot ... -22.99 eV/cell
&SYSTEM
  ibrav = 0, nat = 8, ntyp = 3
/
ATOMIC_SPECIES
Zn 65.41 Zn.upf
Pd 106.42 Pd.upf
Se 78.96 Se.upf
CELL_PARAMETERS angstrom
-2.912 2.912 5.558
2.912 -2.912 5.558
2.912 2.912 -5.558
ATOMIC_POSITIONS crystal
Zn 0.123 0.625 0.998
Zn 0.375 0.373 0.498
Zn 0.627 0.125 0.002
Zn 0.875 0.877 0.502
Pd 0.250 0.750 0.500
Pd 0.500 0.500 0.000
Se 0.000 0.000 0.000
Se 0.750 0.250 0.500

***

# 15
! Zn3PdSe, relaxed, DFT PBE; values from VASP
! Offset from the most stable computed form ... 224.1 kJ/mol of formula units
&SYSTEM
  ibrav = 0, nat = 5, ntyp = 3
/
ATOMIC_SPECIES
Zn 65.41 Zn.upf
Pd 106.42 Pd.upf
Se 78.96 Se.upf
CELL_PARAMETERS angstrom
4.850 0.000 0.000
0.000 4.850 0.000
0.000 0.000 4.850
ATOMIC_POSITIONS crystal
Zn 0.000 0.000 0.500
Zn 0.000 0.500 0.000
Zn 0.500 0.000 0.000
Pd 0.500 0.500 0.500
Se 0.000 0.000 0.000

***

# 16
! ZnPd4Se, relaxed, DFT PBE; values from VASP
! Offset from the most stable computed form ... 228.4 kJ/mol of formula units
&SYSTEM
  ibrav = 0, nat = 12, ntyp = 3
/
ATOMIC_SPECIES
Zn 65.41 Zn.upf
Pd 106.42 Pd.upf
Se 78.96 Se.upf
CELL_PARAMETERS angstrom
-3.839 3.839 4.016
3.839 -3.839 4.016
3.839 3.839 -4.016
ATOMIC_POSITIONS crystal
Zn 0.000 0.000 0.000
Zn 0.750 0.250 0.500
Pd 0.007 0.322 0.315
Pd 0.007 0.691 0.685
Pd 0.072 0.257 0.815
Pd 0.441 0.257 0.185
Pd 0.495 0.180 0.686
Pd 0.495 0.809 0.314
Pd 0.559 0.745 0.814
Pd 0.930 0.745 0.186
Se 0.252 0.752 0.500
Se 0.502 0.502 0.000

***

# 17
! ZnPd8Se2, relaxed, DFT PBE; values from VASP
! E_tot ... -52.13 eV/cell
&SYSTEM
  ibrav = 0, nat = 11, ntyp = 3
/
ATOMIC_SPECIES
Zn 65.41 Zn.upf
Pd 106.42 Pd.upf
Se 78.96 Se.upf
CELL_PARAMETERS angstrom
4.735 0.000 0.000
-0.580 5.841 0.000
-2.074 -2.913 6.382
ATOMIC_POSITIONS crystal
Zn 0.000 0.000 0.000
Pd 0.184 0.602 0.000
Pd 0.187 0.430 0.330
Pd 0.188 0.950 0.393
Pd 0.390 0.862 0.772
Pd 0.619 0.091 0.229
Pd 0.668 0.362 0.000
Pd 0.795 0.559 0.608
Pd 0.857 0.101 0.670
Se 0.328 0.391 0.678
Se 0.649 0.713 0.322

***

# 18
! ZnPd4Se, relaxed, DFT PBE; values from VASP
! Offset from the most stable computed form ... 0.0 kJ/mol of formula units
&SYSTEM
  ibrav = 0, nat = 24, ntyp = 3
/
ATOMIC_SPECIES
Zn 65.41 Zn.upf
Pd 106.42 Pd.upf
Se 78.96 Se.upf
CELL_PARAMETERS angstrom
6.926 0.000 0.000
0.000 3.298 0.000
0.000 0.000 16.658
ATOMIC_POSITIONS crystal
Zn 0.189 0.250 0.194
Zn 0.311 0.750 0.694
Zn 0.689 0.250 0.306
Zn 0.811 0.750 0.806
Pd 0.048 0.750 0.931
Pd 0.061 0.250 0.338
Pd 0.107 0.250 0.785
Pd 0.214 0.250 0.578
Pd 0.286 0.750 0.078
Pd 0.393 0.750 0.285
Pd 0.439 0.750 0.838
Pd 0.452 0.250 0.431
Pd 0.548 0.750 0.569
Pd 0.561 0.250 0.162
Pd 0.607 0.250 0.715
Pd 0.714 0.250 0.922
Pd 0.786 0.750 0.422
Pd 0.893 0.750 0.215
Pd 0.939 0.750 0.662
Pd 0.952 0.250 0.069
Se 0.182 0.750 0.443
Se 0.318 0.250 0.943
Se 0.682 0.750 0.057
Se 0.818 0.250 0.557

***

# 19
! ZnPd2Se3, relaxed, DFT PBE; values from VASP
! E_tot ... -48.10 eV/cell
&SYSTEM
  ibrav = 0, nat = 12, ntyp = 3
/
ATOMIC_SPECIES
Zn 65.41 Zn.upf
Pd 106.42 Pd.upf
Se 78.96 Se.upf
CELL_PARAMETERS angstrom
7.451 0.000 0.000
-3.725 6.452 0.000
0.000 0.000 4.975
ATOMIC_POSITIONS crystal
Zn 0.333 0.667 0.352
Zn 0.667 0.333 0.648
Pd 0.000 0.000 0.000
Pd 0.000 0.500 0.000
Pd 0.500 0.000 0.000
Pd 0.500 0.500 0.000
Se 0.175 0.350 0.737
Se 0.175 0.825 0.737
Se 0.350 0.175 0.263
Se 0.650 0.825 0.737
Se 0.825 0.175 0.263
Se 0.825 0.650 0.263

***

# 20
! Zn2Pd8Se, relaxed, DFT PBE; values from VASP
! E_tot ... -50.59 eV/cell
&SYSTEM
  ibrav = 0, nat = 11, ntyp = 3
/
ATOMIC_SPECIES
Zn 65.41 Zn.upf
Pd 106.42 Pd.upf
Se 78.96 Se.upf
CELL_PARAMETERS angstrom
-2.246 2.852 6.753
2.246 -2.852 6.753
2.246 2.852 -6.753
ATOMIC_POSITIONS crystal
Zn 0.183 0.183 0.000
Zn 0.817 0.817 0.000
Pd 0.096 0.356 0.740
Pd 0.242 0.000 0.242
Pd 0.317 0.817 0.500
Pd 0.384 0.644 0.740
Pd 0.616 0.356 0.260
Pd 0.683 0.183 0.500
Pd 0.758 0.000 0.758
Pd 0.904 0.644 0.260
Se 0.500 0.500 0.000

***

# 21
! Zn2PdSe2, relaxed, DFT PBE; values from VASP
! Offset from the most stable computed form ... 66.6 kJ/mol of formula units
&SYSTEM
  ibrav = 0, nat = 5, ntyp = 3
/
ATOMIC_SPECIES
Zn 65.41 Zn.upf
Pd 106.42 Pd.upf
Se 78.96 Se.upf
CELL_PARAMETERS angstrom
-1.952 1.952 6.533
1.952 -1.952 6.533
1.952 1.952 -6.533
ATOMIC_POSITIONS crystal
Zn 0.250 0.750 0.500
Zn 0.750 0.250 0.500
Pd 0.000 0.000 0.000
Se 0.376 0.376 0.000
Se 0.624 0.624 0.000

***

# 22
! Zr2ZnPdSe, relaxed, DFT PBE; values from VASP
! E_tot ... -24.04 eV/cell
&SYSTEM
  ibrav = 0, nat = 5, ntyp = 4
/
ATOMIC_SPECIES
Zr 91.22 Zr.upf
Zn 65.41 Zn.upf
Pd 106.42 Pd.upf
Se 78.96 Se.upf
CELL_PARAMETERS angstrom
5.032 0.000 0.000
0.000 5.032 0.000
0.000 0.000 4.545
ATOMIC_POSITIONS crystal
Zr 0.000 0.500 0.000
Zr 0.500 0.000 0.000
Zn 0.000 0.000 0.000
Pd 0.500 0.500 0.500
Se 0.000 0.000 0.500

***

# 23
! ZrPdSe3, relaxed, DFT PBE; values from VASP
! Offset from the most stable computed form ... 330.1 kJ/mol of formula units
&SYSTEM
  ibrav = 0, nat = 5, ntyp = 3
/
ATOMIC_SPECIES
Zr 91.22 Zr.upf
Pd 106.42 Pd.upf
Se 78.96 Se.upf
CELL_PARAMETERS angstrom
5.188 0.000 0.000
0.000 5.188 0.000
0.000 0.000 5.188
ATOMIC_POSITIONS crystal
Zr 0.000 0.000 0.000
Pd 0.500 0.500 0.500
Se 0.000 0.000 0.500
Se 0.000 0.500 0.000
Se 0.500 0.000 0.000

***

# 24
! ZrPd3Se, relaxed, DFT PBE; values from VASP
! Offset from the most stable computed form ... 308.6 kJ/mol of formula units
&SYSTEM
  ibrav = 0, nat = 5, ntyp = 3
/
ATOMIC_SPECIES
Zr 91.22 Zr.upf
Pd 106.42 Pd.upf
Se 78.96 Se.upf
CELL_PARAMETERS angstrom
4.927 0.000 0.000
0.000 4.927 0.000
0.000 0.000 4.927
ATOMIC_POSITIONS crystal
Zr 0.000 0.000 0.000
Pd 0.000 0.000 0.500
Pd 0.000 0.500 0.000
Pd 0.500 0.000 0.000
Se 0.500 0.500 0.500

***

# 25
! ZrPd3Se, relaxed, DFT PBE; values from VASP
! Offset from the most stable computed form ... 0.0 kJ/mol of formula units
&SYSTEM
  ibrav = 0, nat = 5, ntyp = 3
/
ATOMIC_SPECIES
Zr 91.22 Zr.upf
Pd 106.42 Pd.upf
Se 78.96 Se.upf
CELL_PARAMETERS angstrom
4.668 0.000 0.000
0.000 4.668 0.000
0.000 0.000 4.668
ATOMIC_POSITIONS crystal
Zr 0.000 0.000 0.000
Pd 0.000 0.500 0.500
Pd 0.500 0.000 0.500
Pd 0.500 0.500 0.000
Se 0.500 0.500 0.500

***

no.,density of states at the Fermi level (states/eV/cell)
1,12.16
2,6.15
3,11.67
4,7.29
5,2.26
6,2.01
7,4.29
8,2.92
9,4.45
10,2.18
11,7.13
12,2.66
13,4.50
14,0.00
15,3.66
16,5.72
17,6.40
18,9.21
19,2.16
20,4.41
21,0.25
22,3.85
23,7.63
24,2.40
25,4.84